[1]
# Sr2LiZnF (PBE, optimized geometry)
# E_form (uncorrected), eV/atom: -1.153
data_Sr2LiZnF
_space_group_name_H-M_alt 'P 1'
_space_group_IT_number 1
_cell_length_a 5.449
_cell_length_b 5.449
_cell_length_c 4.147
_cell_angle_alpha 90.00
_cell_angle_beta 90.00
_cell_angle_gamma 90.00
loop_
_space_group_symop_operation_xyz
'x,y,z'
loop_
_atom_site_label
_atom_site_type_symbol
_atom_site_fract_x
_atom_site_fract_y
_atom_site_fract_z
_atom_site_occupancy
Sr1 Sr 0.000 0.500 0.000 1
Sr2 Sr 0.500 0.000 0.000 1
Zn1 Zn 0.500 0.500 0.500 1
Li1 Li 0.000 0.000 0.500 1
F1 F 0.000 0.000 0.000 1

***

[2]
# SrLi4Zn3F12 (PBE, optimized geometry)
# E_form (uncorrected), eV/atom: -2.766
data_SrLi4Zn3F12
_space_group_name_H-M_alt 'P 1'
_space_group_IT_number 1
_cell_length_a 6.577
_cell_length_b 6.577
_cell_length_c 6.577
_cell_angle_alpha 109.47
_cell_angle_beta 109.47
_cell_angle_gamma 109.47
loop_
_space_group_symop_operation_xyz
'x,y,z'
loop_
_atom_site_label
_atom_site_type_symbol
_atom_site_fract_x
_atom_site_fract_y
_atom_site_fract_z
_atom_site_occupancy
Sr1 Sr 0.000 0.000 0.000 1
Li1 Li 0.500 0.000 0.000 1
Li2 Li 0.500 0.500 0.500 1
Li3 Li 0.000 0.500 0.000 1
Li4 Li 0.000 0.000 0.500 1
Zn1 Zn 0.000 0.500 0.500 1
Zn2 Zn 0.500 0.500 0.000 1
Zn3 Zn 0.500 0.000 0.500 1
F1 F 0.307 0.823 0.130 1
F2 F 0.693 0.177 0.870 1
F3 F 0.693 0.823 0.515 1
F4 F 0.870 0.693 0.177 1
F5 F 0.823 0.130 0.307 1
F6 F 0.177 0.485 0.307 1
F7 F 0.485 0.307 0.177 1
F8 F 0.177 0.870 0.693 1
F9 F 0.307 0.177 0.485 1
F10 F 0.130 0.307 0.823 1
F11 F 0.823 0.515 0.693 1
F12 F 0.515 0.693 0.823 1

***

[3]
# SrLi2ZnF6 (PBE, optimized geometry)
# E_form (uncorrected), eV/atom: -3.006
data_SrLi2ZnF6
_space_group_name_H-M_alt 'P 1'
_space_group_IT_number 1
_cell_length_a 5.403
_cell_length_b 5.403
_cell_length_c 5.733
_cell_angle_alpha 61.87
_cell_angle_beta 61.87
_cell_angle_gamma 59.99
loop_
_space_group_symop_operation_xyz
'x,y,z'
loop_
_atom_site_label
_atom_site_type_symbol
_atom_site_fract_x
_atom_site_fract_y
_atom_site_fract_z
_atom_site_occupancy
Sr1 Sr 0.794 0.794 0.617 1
Li1 Li 0.523 0.523 0.432 1
Li2 Li 0.016 0.016 0.951 1
Zn1 Zn 0.314 0.314 0.057 1
F1 F 0.605 0.252 0.233 1
F2 F 0.252 0.910 0.233 1
F3 F 0.910 0.605 0.233 1
F4 F 0.334 0.732 0.753 1
F5 F 0.731 0.182 0.753 1
F6 F 0.182 0.334 0.753 1

***

[4]
# SrLi2ZrF8 (PBE, optimized geometry)
# E_form (uncorrected), eV/atom: -3.458
data_SrLi2ZrF8
_space_group_name_H-M_alt 'P 1'
_space_group_IT_number 1
_cell_length_a 4.905
_cell_length_b 4.905
_cell_length_c 7.346
_cell_angle_alpha 84.83
_cell_angle_beta 84.83
_cell_angle_gamma 82.66
loop_
_space_group_symop_operation_xyz
'x,y,z'
loop_
_atom_site_label
_atom_site_type_symbol
_atom_site_fract_x
_atom_site_fract_y
_atom_site_fract_z
_atom_site_occupancy
Sr1 Sr 0.000 0.000 0.500 1
Li1 Li 0.533 0.533 0.296 1
Li2 Li 0.467 0.467 0.704 1
Zr1 Zr 0.000 0.000 0.000 1
F1 F 0.789 0.206 0.787 1
F2 F 0.726 0.726 0.044 1
F3 F 0.677 0.677 0.502 1
F4 F 0.323 0.323 0.498 1
F5 F 0.274 0.274 0.956 1
F6 F 0.206 0.789 0.787 1
F7 F 0.794 0.211 0.213 1
F8 F 0.211 0.794 0.213 1

***

[5]
# Sr2Li3ZrF12 (PBE, optimized geometry)
# E_form (uncorrected), eV/atom: -3.125
data_Sr2Li3ZrF12
_space_group_name_H-M_alt 'P 1'
_space_group_IT_number 1
_cell_length_a 7.077
_cell_length_b 7.077
_cell_length_c 7.077
_cell_angle_alpha 55.82
_cell_angle_beta 55.82
_cell_angle_gamma 55.82
loop_
_space_group_symop_operation_xyz
'x,y,z'
loop_
_atom_site_label
_atom_site_type_symbol
_atom_site_fract_x
_atom_site_fract_y
_atom_site_fract_z
_atom_site_occupancy
Sr1 Sr 0.605 0.605 0.605 1
Sr2 Sr 0.395 0.395 0.395 1
Li1 Li 0.500 0.000 0.000 1
Li2 Li 0.000 0.500 0.000 1
Li3 Li 0.000 0.000 0.500 1
Zr1 Zr 0.000 0.000 0.000 1
F1 F 0.265 0.265 0.845 1
F2 F 0.853 0.853 0.398 1
F3 F 0.398 0.853 0.853 1
F4 F 0.845 0.265 0.265 1
F5 F 0.853 0.398 0.853 1
F6 F 0.265 0.845 0.265 1
F7 F 0.735 0.735 0.155 1
F8 F 0.147 0.147 0.602 1
F9 F 0.602 0.147 0.147 1
F10 F 0.155 0.735 0.735 1
F11 F 0.147 0.602 0.147 1
F12 F 0.735 0.155 0.735 1

***

[6]
# LiTaF2 (PBE, optimized geometry)
# E_form (uncorrected), eV/atom: -1.332
# Polymorph energy (0 for the lowest one), meV/atom: 796.6
data_LiTaF2
_space_group_name_H-M_alt 'P 1'
_space_group_IT_number 1
_cell_length_a 4.916
_cell_length_b 4.916
_cell_length_c 5.462
_cell_angle_alpha 63.26
_cell_angle_beta 63.26
_cell_angle_gamma 90.00
loop_
_space_group_symop_operation_xyz
'x,y,z'
loop_
_atom_site_label
_atom_site_type_symbol
_atom_site_fract_x
_atom_site_fract_y
_atom_site_fract_z
_atom_site_occupancy
F1 F 0.547 0.125 0.250 1
F2 F 0.203 0.625 0.250 1
F3 F 0.375 0.453 0.750 1
F4 F 0.875 0.797 0.750 1
Li1 Li 0.500 0.500 0.000 1
Li2 Li 0.250 0.750 0.500 1
Ta1 Ta 0.000 0.000 0.000 1
Ta2 Ta 0.750 0.250 0.500 1

***

[7]
# Li2TaF (PBE, optimized geometry)
# E_form (uncorrected), eV/atom: 0.613
# Polymorph energy (0 for the lowest one), meV/atom: 994.5
data_Li2TaF
_space_group_name_H-M_alt 'P 1'
_space_group_IT_number 1
_cell_length_a 4.663
_cell_length_b 4.663
_cell_length_c 4.663
_cell_angle_alpha 60.00
_cell_angle_beta 60.00
_cell_angle_gamma 60.00
loop_
_space_group_symop_operation_xyz
'x,y,z'
loop_
_atom_site_label
_atom_site_type_symbol
_atom_site_fract_x
_atom_site_fract_y
_atom_site_fract_z
_atom_site_occupancy
F1 F 0.000 0.000 0.000 1
Li1 Li 0.250 0.250 0.250 1
Li2 Li 0.750 0.750 0.750 1
Ta1 Ta 0.500 0.500 0.500 1

***

[8]
# Li2TaF (PBE, optimized geometry)
# E_form (uncorrected), eV/atom: -0.381
# Polymorph energy (0 for the lowest one), meV/atom: 0.0
data_Li2TaF
_space_group_name_H-M_alt 'P 1'
_space_group_IT_number 1
_cell_length_a 5.569
_cell_length_b 5.569
_cell_length_c 5.498
_cell_angle_alpha 59.58
_cell_angle_beta 59.58
_cell_angle_gamma 90.00
loop_
_space_group_symop_operation_xyz
'x,y,z'
loop_
_atom_site_label
_atom_site_type_symbol
_atom_site_fract_x
_atom_site_fract_y
_atom_site_fract_z
_atom_site_occupancy
F1 F 0.500 0.500 0.000 1
F2 F 0.250 0.750 0.500 1
Li1 Li 0.443 0.125 0.250 1
Li2 Li 0.307 0.625 0.250 1
Li3 Li 0.375 0.557 0.750 1
Li4 Li 0.875 0.693 0.750 1
Ta1 Ta 0.000 0.000 0.000 1
Ta2 Ta 0.750 0.250 0.500 1

***

[9]
# LiTaF2 (PBE, optimized geometry)
# E_form (uncorrected), eV/atom: -2.128
# Polymorph energy (0 for the lowest one), meV/atom: 0.0
data_LiTaF2
_space_group_name_H-M_alt 'P 1'
_space_group_IT_number 1
_cell_length_a 6.628
_cell_length_b 6.628
_cell_length_c 6.628
_cell_angle_alpha 25.44
_cell_angle_beta 25.44
_cell_angle_gamma 25.44
loop_
_space_group_symop_operation_xyz
'x,y,z'
loop_
_atom_site_label
_atom_site_type_symbol
_atom_site_fract_x
_atom_site_fract_y
_atom_site_fract_z
_atom_site_occupancy
F1 F 0.891 0.891 0.891 1
F2 F 0.109 0.109 0.109 1
Li1 Li 0.500 0.500 0.500 1
Ta1 Ta 0.000 0.000 0.000 1

***

[10]
# LiTaF5 (PBE, optimized geometry)
# E_form (uncorrected), eV/atom: -2.994
data_LiTaF5
_space_group_name_H-M_alt 'P 1'
_space_group_IT_number 1
_cell_length_a 5.515
_cell_length_b 5.515
_cell_length_c 8.050
_cell_angle_alpha 67.46
_cell_angle_beta 67.46
_cell_angle_gamma 78.49
loop_
_space_group_symop_operation_xyz
'x,y,z'
loop_
_atom_site_label
_atom_site_type_symbol
_atom_site_fract_x
_atom_site_fract_y
_atom_site_fract_z
_atom_site_occupancy
Li1 Li 0.438 0.562 0.250 1
Li2 Li 0.562 0.438 0.750 1
Ta1 Ta 0.000 0.000 0.000 1
Ta2 Ta 0.000 0.000 0.500 1
F1 F 0.774 0.700 0.138 1
F2 F 0.249 0.701 0.455 1
F3 F 0.700 0.774 0.638 1
F4 F 0.949 0.051 0.250 1
F5 F 0.299 0.751 0.045 1
F6 F 0.701 0.249 0.955 1
F7 F 0.051 0.949 0.750 1
F8 F 0.300 0.226 0.362 1
F9 F 0.751 0.299 0.545 1
F10 F 0.226 0.300 0.862 1

***

[11]
# LiTa2F11 (PBE, optimized geometry)
# E_form (uncorrected), eV/atom: -3.170
data_LiTa2F11
_space_group_name_H-M_alt 'P 1'
_space_group_IT_number 1
_cell_length_a 8.067
_cell_length_b 8.094
_cell_length_c 8.094
_cell_angle_alpha 73.17
_cell_angle_beta 60.11
_cell_angle_gamma 60.11
loop_
_space_group_symop_operation_xyz
'x,y,z'
loop_
_atom_site_label
_atom_site_type_symbol
_atom_site_fract_x
_atom_site_fract_y
_atom_site_fract_z
_atom_site_occupancy
Li1 Li 0.750 0.750 0.750 1
Li2 Li 0.250 0.250 0.250 1
Ta1 Ta 0.593 0.701 0.299 1
Ta2 Ta 0.407 0.299 0.701 1
Ta3 Ta 0.907 0.201 0.799 1
Ta4 Ta 0.093 0.799 0.201 1
F1 F 0.560 0.760 0.526 1
F2 F 0.440 0.240 0.474 1
F3 F 0.154 0.526 0.760 1
F4 F 0.940 0.974 0.740 1
F5 F 0.846 0.474 0.240 1
F6 F 0.060 0.026 0.260 1
F7 F 0.346 0.740 0.974 1
F8 F 0.654 0.260 0.026 1
F9 F 0.500 0.500 0.500 1
F10 F 0.000 0.000 0.000 1
F11 F 0.848 0.792 0.208 1
F12 F 0.152 0.208 0.792 1
F13 F 0.652 0.292 0.708 1
F14 F 0.348 0.708 0.292 1
F15 F 0.447 0.977 0.270 1
F16 F 0.553 0.023 0.730 1
F17 F 0.305 0.270 0.977 1
F18 F 0.053 0.230 0.523 1
F19 F 0.695 0.730 0.023 1
F20 F 0.947 0.770 0.477 1
F21 F 0.195 0.523 0.230 1
F22 F 0.805 0.477 0.770 1

***

[12]
# LiTaF2 (PBE, optimized geometry)
# E_form (uncorrected), eV/atom: -0.617
# Polymorph energy (0 for the lowest one), meV/atom: 1511.1
data_LiTaF2
_space_group_name_H-M_alt 'P 1'
_space_group_IT_number 1
_cell_length_a 4.207
_cell_length_b 4.207
_cell_length_c 4.207
_cell_angle_alpha 60.00
_cell_angle_beta 60.00
_cell_angle_gamma 60.00
loop_
_space_group_symop_operation_xyz
'x,y,z'
loop_
_atom_site_label
_atom_site_type_symbol
_atom_site_fract_x
_atom_site_fract_y
_atom_site_fract_z
_atom_site_occupancy
F1 F 0.250 0.250 0.250 1
F2 F 0.750 0.750 0.750 1
Li1 Li 0.000 0.000 0.000 1
Ta1 Ta 0.500 0.500 0.500 1